Entry 1:
Entry from Alexandria: a geometry-optimized ScAlBBr2 structure (PBE-GGA).

Cell lengths 4.9744, 4.9744, 4.7040 Å; angles 90.00, 90.00, 90.00 degrees
With the nearest neighbours (Å) after each atom.
Fractional coordinates of all 5 atoms:
Sc 0.0000 0.0000 0.5000  2 B 2.35
B 0.0000 0.0000 0.0000  2 Sc 2.35, 4 Br 2.49
Al 0.5000 0.5000 0.5000  8 Br 3.42, 4 Sc 3.52
Br 0.0000 0.5000 0.0000  2 B 2.49
Br 0.5000 0.0000 0.0000  2 B 2.49

## Properties
ΔE_f (raw) = 0.5428 eV/atom
Space-group type = No. 123

---

Entry 2:
Entry from Alexandria: a geometry-optimized GaCuAsRu2 structure (PBE-GGA).

Cell lengths 4.5579, 4.1754, 4.5579 Å; angles 90.00, 90.00, 90.00 degrees
With the nearest neighbours (Å) after each atom.
Fractional coordinates of all 5 atoms:
Ru 0.0000 0.0000 0.5000  2 Cu 2.28
Ru 0.5000 0.0000 0.0000  2 Cu 2.28
As 0.5000 0.5000 0.5000  8 Ru 3.09, 4 Ga 3.22
Cu 0.0000 0.0000 0.0000  2 Ga 2.09, 4 Ru 2.28
Ga 0.0000 0.5000 0.0000  2 Cu 2.09

## Properties
Calculated formation energy = 1.1100 eV/atom
Space-group type = No. 123

---

Entry 3:
Entry from Alexandria: a geometry-optimized CdBi3B structure (PBE-GGA).

Cell lengths 5.1292, 5.1292, 5.1292 Å; angles 90.00, 90.00, 90.00 degrees
With the nearest neighbours (Å) after each atom.
Fractional coordinates of all 5 atoms:
B 0.0000 0.0000 0.0000  6 Bi 2.56
Bi 0.0000 0.5000 0.0000  2 B 2.56
Bi 0.0000 0.0000 0.5000  2 B 2.56
Bi 0.5000 0.0000 0.0000  2 B 2.56
Cd 0.5000 0.5000 0.5000  12 Bi 3.63

## Properties
Calculated formation energy = 0.7227 eV/atom
E above lowest polymorph = 0.0 meV/atom
Space-group type = No. 221